# 1
Density functional theory data (PBE-GGA) for RbLaSF2 after structural relaxation.

- magnetization (Bohr magnetons per cell) = 0.0
- ΔE to the lowest computed polymorph (eV/atom) = 0.000
- E (eV per formula unit) = -28.364
- ΔE_f (raw) (meV per atom) = -2920
- space group = No. 123

a b c (Å): 4.7820 4.7820 5.6580
angles (deg): 90.00 90.00 90.00
With the nearest neighbours (Å) after each atom.
Element x y z (fractional)
F  0.5000  0.0000  0.0000  2 La 2.39
F  0.0000  0.5000  0.0000  2 La 2.39
Rb  0.5000  0.5000  0.5000  4 S 3.38, 8 F 3.70
S  0.0000  0.0000  0.5000  2 La 2.83
La  0.0000  0.0000  0.0000  4 F 2.39

***

# 2
Density functional theory data (PBE-GGA) for ReHg2W after structural relaxation.

- magnetization (Bohr magnetons per cell) = 0.0
- ΔE to the lowest computed polymorph (eV/atom) = 0.457
- E (eV per formula unit) = -22.175
- space group = No. 119

a b c (Å): 5.0195 5.0195 5.0195
angles (deg): 130.86 130.86 72.04
With the nearest neighbours (Å) after each atom.
Element x y z (fractional)
Hg  0.2500  0.7500  0.5000  4 Hg 2.91, 4 Re 2.91, 4 W 2.95
Hg  0.0000  0.0000  0.0000  4 Hg 2.91, 4 W 2.91, 4 Re 2.95
W  0.7500  0.2500  0.5000  4 Re 2.91, 8 Hg 2.91-2.95
Re  0.5000  0.5000  0.0000  4 W 2.91, 8 Hg 2.91-2.95

***

# 3
Density functional theory data (PBE-GGA) for Ti3Si after structural relaxation.

- magnetization (Bohr magnetons per cell) = 0.0
- E (eV per formula unit) = -31.074
- ΔE_f (raw) (meV per atom) = -492
- space group = No. 82

a b c (Å): 5.0686 7.5992 7.5992
angles (deg): 83.61 70.52 70.52
With the nearest neighbours (Å) after each atom.
Element x y z (fractional)
Ti  0.3873  0.9721  0.8092  2 Si 2.58-2.69, 2 Ti 2.76-2.81
Ti  0.4413  0.5976  0.0329  3 Si 2.56-2.72, 2 Ti 2.81-2.85
Ti  0.0717  0.4024  0.9671  3 Si 2.56-2.72, 2 Ti 2.81-2.85
Ti  0.8035  0.8092  0.0279  2 Si 2.58-2.69, 2 Ti 2.76-2.81
Ti  0.8384  0.6133  0.6684  4 Si 2.59-2.66, 1 Ti 2.85
Ti  0.9611  0.9671  0.5976  3 Si 2.56-2.72, 2 Ti 2.81-2.85
Ti  0.6406  0.1908  0.9721  2 Si 2.58-2.69, 2 Ti 2.76-2.81
Ti  0.5259  0.0329  0.4024  3 Si 2.56-2.72, 2 Ti 2.81-2.85
Ti  0.4932  0.6684  0.3867  4 Si 2.59-2.66, 1 Ti 2.85
Ti  0.1201  0.3867  0.3316  4 Si 2.59-2.66, 1 Ti 2.85
Ti  0.5483  0.3316  0.6133  4 Si 2.59-2.66, 1 Ti 2.85
Ti  0.1686  0.0279  0.1908  2 Si 2.58-2.69, 2 Ti 2.76-2.81
Si  0.9903  0.7465  0.3285  9 Ti 2.56-2.72
Si  0.0653  0.2535  0.6715  9 Ti 2.56-2.72
Si  0.6812  0.3285  0.2535  9 Ti 2.56-2.72
Si  0.2632  0.6715  0.7465  9 Ti 2.56-2.72

***

# 4
Density functional theory data (PBE-GGA) for Na2CeTiSe4 after structural relaxation.

- magnetization (Bohr magnetons per cell) = 2.0
- E (eV per formula unit) = -41.288
- ΔE_f (raw) (meV per atom) = -1360
- space group = No. 10

a b c (Å): 4.0396 6.9093 7.4217
angles (deg): 108.34 90.00 90.00
With the nearest neighbours (Å) after each atom.
Element x y z (fractional)
Ce  0.0000  0.0000  0.0000  6 Se 2.89
Se  0.5000  0.2644  0.2308  1 Ti 2.71, 2 Ce 2.89, 2 Na 2.95
Se  0.5000  0.7356  0.7692  1 Ti 2.71, 2 Ce 2.89, 2 Na 2.95
Se  0.0000  0.2816  0.7827  2 Ti 2.72, 1 Ce 2.89, 1 Na 2.94
Se  0.0000  0.7184  0.2173  2 Ti 2.72, 1 Ce 2.89, 1 Na 2.94
Ti  0.5000  0.5000  0.0000  6 Se 2.71-2.72
Na  0.0000  0.5000  0.5000  6 Se 2.94-2.95
Na  0.5000  0.0000  0.5000  6 Se 3.10-3.11

***

# 5
Density functional theory data (PBE-GGA) for CaPr3Ni after structural relaxation.

- magnetization (Bohr magnetons per cell) = 0.9
- ΔE to the lowest computed polymorph (eV/atom) = 0.003
- E (eV per formula unit) = -22.073
- space group = No. 221

a b c (Å): 5.5929 5.5929 5.5929
angles (deg): 90.00 90.00 90.00
With the nearest neighbours (Å) after each atom.
Element x y z (fractional)
Ni  0.0000  0.0000  0.0000  6 Pr 2.80
Pr  0.0000  0.5000  0.0000  2 Ni 2.80
Pr  0.5000  0.0000  0.0000  2 Ni 2.80
Pr  0.0000  0.0000  0.5000  2 Ni 2.80
Ca  0.5000  0.5000  0.5000  12 Pr 3.95

***

# 6
Density functional theory data (PBE-GGA) for NaSr2Cd after structural relaxation.

- magnetization (Bohr magnetons per cell) = 0.0
- E (eV per formula unit) = -4.770
- space group = No. 166

a b c (Å): 4.0617 4.0617 13.5648
angles (deg): 81.39 81.39 60.00
With the nearest neighbours (Å) after each atom.
Element x y z (fractional)
Sr  0.0852  0.0852  0.7443  1 Cd 3.42
Sr  0.9148  0.9148  0.2557  1 Cd 3.42
Na  0.5000  0.5000  0.5000  6 Sr 4.02, 6 Na 4.06
Cd  0.0000  0.0000  0.0000  2 Sr 3.42

***

# 7
Density functional theory data (PBE-GGA) for CuOsRu2 after structural relaxation.

- magnetization (Bohr magnetons per cell) = 1.5
- E (eV per formula unit) = -31.728
- space group = No. 216

a b c (Å): 4.2885 4.2885 4.2885
angles (deg): 60.00 60.00 60.00
With the nearest neighbours (Å) after each atom.
Element x y z (fractional)
Ru  0.0000  0.0000  0.0000  4 Os 2.63, 4 Ru 2.63
Ru  0.2500  0.2500  0.2500  4 Ru 2.63, 4 Cu 2.63
Cu  0.5000  0.5000  0.5000  4 Os 2.63, 4 Ru 2.63
Os  0.7500  0.7500  0.7500  4 Ru 2.63, 4 Cu 2.63

***

# 8
Density functional theory data (PBE-GGA) for YB11 after structural relaxation.

- magnetization (Bohr magnetons per cell) = 0.0
- E (eV per formula unit) = -72.000
- space group = No. 141

a b c (Å): 8.9545 6.6273 6.6273
angles (deg): 62.84 47.50 47.50
With the nearest neighbours (Å) after each atom.
Element x y z (fractional)
B  0.0560  0.9474  0.3352  2 B 1.67-1.87
B  0.3386  0.6648  0.0526  2 B 1.67-1.87
B  0.0560  0.3352  0.9474  2 B 1.67-1.87
B  0.8750  0.7500  0.2500  4 B 1.67
B  0.6940  0.1648  0.5526  2 B 1.67-1.87
B  0.7534  0.5526  0.8352  2 B 1.67-1.87
B  0.0000  0.0000  0.0000  4 B 2.06
B  0.6088  0.3352  0.0526  2 B 1.67-1.87
B  0.1412  0.4474  0.1648  2 B 1.67-1.87
B  0.6088  0.0526  0.3352  2 B 1.67-1.87
B  0.4114  0.4474  0.8352  2 B 1.67-1.87
B  0.1412  0.1648  0.4474  2 B 1.67-1.87
B  0.9966  0.6648  0.9474  2 B 1.67-1.87
B  0.6940  0.5526  0.1648  2 B 1.67-1.87
B  0.7534  0.8352  0.5526  2 B 1.67-1.87
B  0.4114  0.8352  0.4474  2 B 1.67-1.87
B  0.3750  0.7500  0.7500  4 B 1.67
B  0.8750  0.2500  0.7500  4 B 1.67
B  0.3386  0.0526  0.6648  2 B 1.67-1.87
B  0.9966  0.9474  0.6648  2 B 1.67-1.87
B  0.7500  0.5000  0.5000  4 B 2.06
B  0.8750  0.2500  0.2500  4 B 1.67
Y  0.2500  0.5000  0.5000  8 B 2.38
Y  0.5000  0.0000  0.0000  8 B 2.38

***

# 9
Density functional theory data (PBE-GGA) for Y2CuTe after structural relaxation.

- magnetization (Bohr magnetons per cell) = 0.0
- E (eV per formula unit) = -19.952
- ΔE_f (raw) (meV per atom) = 54
- space group = No. 216

a b c (Å): 5.1745 5.1745 5.1745
angles (deg): 60.00 60.00 60.00
With the nearest neighbours (Å) after each atom.
Element x y z (fractional)
Cu  0.5000  0.5000  0.5000  4 Te 3.17, 4 Y 3.17
Y  0.2500  0.2500  0.2500  4 Cu 3.17, 4 Y 3.17
Y  0.0000  0.0000  0.0000  4 Y 3.17, 4 Te 3.17
Te  0.7500  0.7500  0.7500  4 Cu 3.17, 4 Y 3.17

***

# 10
Density functional theory data (PBE-GGA) for Pm3Ga3Au2 after structural relaxation.

- magnetization (Bohr magnetons per cell) = 0.0
- E (eV per formula unit) = -35.790
- space group = No. 63

a b c (Å): 4.5116 5.8723 15.1047
angles (deg): 90.00 90.00 112.59
With the nearest neighbours (Å) after each atom.
Element x y z (fractional)
Ga  0.3907  0.7814  0.9632  1 Ga 2.62, 2 Au 2.65
Ga  0.6541  0.3082  0.7500  2 Au 2.74
Ga  0.3907  0.7814  0.5368  1 Ga 2.62, 2 Au 2.65
Ga  0.3459  0.6918  0.2500  2 Au 2.74
Ga  0.6093  0.2186  0.0368  1 Ga 2.62, 2 Au 2.65
Ga  0.6093  0.2186  0.4632  1 Ga 2.62, 2 Au 2.65
Au  0.8024  0.6047  0.8966  3 Ga 2.65-2.74
Au  0.1976  0.3953  0.3966  3 Ga 2.65-2.74
Au  0.8024  0.6047  0.6034  3 Ga 2.65-2.74
Au  0.1976  0.3953  0.1034  3 Ga 2.65-2.74
Pm  0.9032  0.8063  0.1086  7 Ga 3.15-3.37, 4 Au 3.17-3.38
Pm  0.9032  0.8063  0.3914  7 Ga 3.15-3.37, 4 Au 3.17-3.38
Pm  0.0968  0.1937  0.8914  7 Ga 3.15-3.37, 4 Au 3.17-3.38
Pm  0.6313  0.2626  0.2500  5 Ga 3.09-3.24, 4 Au 3.24
Pm  0.3687  0.7374  0.7500  5 Ga 3.09-3.24, 4 Au 3.24
Pm  0.0968  0.1937  0.6086  7 Ga 3.15-3.37, 4 Au 3.17-3.38

***

# 11
Density functional theory data (PBE-GGA) for ZnTeMo2 after structural relaxation.

- magnetization (Bohr magnetons per cell) = 0.0
- ΔE to the lowest computed polymorph (eV/atom) = 0.230
- E (eV per formula unit) = -24.343
- ΔE_f (raw) (meV per atom) = 434
- space group = No. 225

a b c (Å): 4.5516 4.5516 4.5516
angles (deg): 60.00 60.00 60.00
With the nearest neighbours (Å) after each atom.
Element x y z (fractional)
Mo  0.7500  0.7500  0.7500  4 Te 2.79, 4 Zn 2.79
Mo  0.2500  0.2500  0.2500  4 Te 2.79, 4 Zn 2.79
Te  0.5000  0.5000  0.5000  8 Mo 2.79
Zn  0.0000  0.0000  0.0000  8 Mo 2.79

***

# 12
Density functional theory data (PBE-GGA) for Cs2NdCu2O4 after structural relaxation.

- magnetization (Bohr magnetons per cell) = 1.1
- E (eV per formula unit) = -47.372
- ΔE_f (raw) (meV per atom) = -1430
- space group = No. 12

a b c (Å): 3.6506 6.9034 7.2094
angles (deg): 106.33 104.67 90.00
With the nearest neighbours (Å) after each atom.
Element x y z (fractional)
Cs  0.1358  0.5649  0.2716  7 O 3.08-3.41, 1 Cu 3.33
Cs  0.8642  0.4351  0.7284  7 O 3.08-3.41, 1 Cu 3.33
Cu  0.6748  0.0092  0.3496  3 O 1.96-2.12
Cu  0.3252  0.9908  0.6504  3 O 1.96-2.12
O  0.5304  0.7979  0.0607  1 Cu 2.12
O  0.4696  0.2021  0.9393  1 Cu 2.12
O  0.8121  0.8812  0.6243  2 Cu 1.96
O  0.1879  0.1188  0.3757  2 Cu 1.96
Nd  0.0000  0.0000  0.0000  6 O 2.41-2.51

***

# 13
Density functional theory data (PBE-GGA) for Li2AlAsH after structural relaxation.

- magnetization (Bohr magnetons per cell) = 0.0
- E (eV per formula unit) = -17.286
- space group = No. 123

a b c (Å): 3.8964 3.8964 4.3077
angles (deg): 90.00 90.00 90.00
With the nearest neighbours (Å) after each atom.
Element x y z (fractional)
H  0.0000  0.0000  0.0000  4 Li 1.95, 2 Al 2.15
Al  0.0000  0.0000  0.5000  2 H 2.15
As  0.5000  0.5000  0.5000  4 Al 2.76, 8 Li 2.90
Li  0.0000  0.5000  0.0000  2 H 1.95
Li  0.5000  0.0000  0.0000  2 H 1.95

***

# 14
Density functional theory data (PBE-GGA) for Ta2FeRh after structural relaxation.

- magnetization (Bohr magnetons per cell) = 0.0
- E (eV per formula unit) = -40.350
- space group = No. 139

a b c (Å): 4.6207 4.6207 4.6207
angles (deg): 127.06 127.06 78.15
With the nearest neighbours (Å) after each atom.
Element x y z (fractional)
Ta  0.0000  0.0000  0.0000  4 Rh 2.73, 4 Fe 2.73, 4 Ta 2.91
Ta  0.5000  0.5000  0.0000  4 Fe 2.73, 4 Rh 2.73, 4 Ta 2.91
Fe  0.2500  0.7500  0.5000  8 Ta 2.73, 4 Rh 2.91
Rh  0.7500  0.2500  0.5000  8 Ta 2.73, 4 Fe 2.91

***

# 15
Density functional theory data (PBE-GGA) for Ac2ErInPt6 after structural relaxation.

- magnetization (Bohr magnetons per cell) = 0.0
- E (eV per formula unit) = -54.568
- space group = No. 225

a b c (Å): 7.1817 7.1817 7.1817
angles (deg): 60.00 60.00 90.00
With the nearest neighbours (Å) after each atom.
Element x y z (fractional)
In  0.5000  0.5000  0.0000  6 Pt 2.52
Pt  0.7485  0.7485  0.0000  1 In 2.52, 1 Er 2.55
Pt  0.7486  0.2514  0.0000  1 In 2.52, 1 Er 2.55
Pt  0.2514  0.7486  0.0000  1 In 2.52, 1 Er 2.55
Pt  0.2515  0.2515  0.4971  1 In 2.52, 1 Er 2.55
Pt  0.7485  0.7485  0.5029  1 In 2.52, 1 Er 2.55
Pt  0.2515  0.2515  0.0000  1 In 2.52, 1 Er 2.55
Ac  0.2500  0.7500  0.5000  12 Pt 3.59
Ac  0.7500  0.2500  0.5000  12 Pt 3.59
Er  0.0000  0.0000  0.0000  6 Pt 2.55

***

# 16
Density functional theory data (PBE-GGA) for Zr2FeW after structural relaxation.

- magnetization (Bohr magnetons per cell) = 0.6
- ΔE to the lowest computed polymorph (eV/atom) = 0.027
- E (eV per formula unit) = -38.230
- space group = No. 99

a b c (Å): 3.0228 3.0228 8.0073
angles (deg): 90.00 90.00 89.99
With the nearest neighbours (Å) after each atom.
Element x y z (fractional)
Zr  0.5000  0.5000  0.3001  4 Fe 2.86, 4 Zr 3.02
Zr  0.0000  0.0000  0.9613  4 W 2.98, 4 Zr 3.02
W  0.5000  0.5000  0.7019  4 Fe 2.51
Fe  0.0000  0.0000  0.5367  4 W 2.51

***

# 17
Density functional theory data (PBE-GGA) for TcSnTe2I after structural relaxation.

- magnetization (Bohr magnetons per cell) = 4.9
- ΔE to the lowest computed polymorph (eV/atom) = 0.662
- E (eV per formula unit) = -16.849
- ΔE_f (raw) (meV per atom) = 1071
- space group = No. 123

a b c (Å): 5.7324 5.7324 5.8130
angles (deg): 90.00 90.00 90.00
With the nearest neighbours (Å) after each atom.
Element x y z (fractional)
Te  0.0000  0.5000  0.0000  2 Sn 2.87
Te  0.5000  0.0000  0.0000  2 Sn 2.87
I  0.0000  0.0000  0.5000  2 Sn 2.91
Tc  0.5000  0.5000  0.5000  4 I 4.05, 8 Te 4.08
Sn  0.0000  0.0000  0.0000  4 Te 2.87, 2 I 2.91

***

# 18
Density functional theory data (PBE-GGA) for Ho5Ge5Ir2 after structural relaxation.

- magnetization (Bohr magnetons per cell) = 0.0
- E (eV per formula unit) = -73.309
- space group = No. 12

a b c (Å): 4.2162 7.8276 8.4617
angles (deg): 88.90 75.57 74.38
With the nearest neighbours (Å) after each atom.
Element x y z (fractional)
Ge  0.0000  0.0000  0.0000  4 Ge 2.81-3.14
Ge  0.9529  0.2932  0.8010  2 Ir 2.52, 1 Ge 2.81
Ge  0.0471  0.7068  0.1990  2 Ir 2.52, 1 Ge 2.81
Ge  0.7224  0.2181  0.3370  1 Ir 2.53
Ge  0.2776  0.7819  0.6630  1 Ir 2.53
Ho  0.3709  0.9340  0.3243  5 Ge 2.87-3.06, 1 Ir 3.07
Ho  0.3025  0.3152  0.0797  3 Ir 2.94-2.95, 7 Ge 3.06-3.22
Ho  0.6291  0.0660  0.6757  5 Ge 2.87-3.06, 1 Ir 3.07
Ho  0.0000  0.5000  0.5000  6 Ge 2.99-3.23, 4 Ir 3.00
Ho  0.6975  0.6848  0.9203  3 Ir 2.94-2.95, 7 Ge 3.06-3.22
Ir  0.6120  0.5325  0.2435  3 Ge 2.52-2.53
Ir  0.3880  0.4675  0.7565  3 Ge 2.52-2.53

***

# 19
Density functional theory data (PBE-GGA) for Ba3Zn8Ga3 after structural relaxation.

- magnetization (Bohr magnetons per cell) = 0.0
- ΔE to the lowest computed polymorph (eV/atom) = 0.032
- E (eV per formula unit) = -27.778
- space group = No. 71

a b c (Å): 4.8203 8.7684 8.7684
angles (deg): 66.74 74.05 74.05
With the nearest neighbours (Å) after each atom.
Element x y z (fractional)
Ba  0.5000  0.5000  0.5000  12 Zn 3.33-3.57, 4 Ga 3.73
Ba  0.1966  0.8034  0.8034  12 Zn 3.29-3.56, 4 Ga 3.36-3.63
Ba  0.8034  0.1966  0.1966  12 Zn 3.29-3.56, 4 Ga 3.36-3.63
Ga  0.0000  0.7950  0.2050  2 Zn 2.68
Ga  0.0000  0.2050  0.7950  2 Zn 2.68
Ga  0.5000  0.0000  0.0000  4 Zn 2.83, 4 Ga 3.12
Zn  0.3620  0.9209  0.3551  3 Zn 2.78-2.85, 3 Ga 2.83-3.08
Zn  0.6380  0.6449  0.0791  3 Zn 2.78-2.85, 3 Ga 2.83-3.08
Zn  0.1625  0.1942  0.4808  1 Ga 2.68, 4 Zn 2.76-2.85
Zn  0.8375  0.8058  0.5192  1 Ga 2.68, 4 Zn 2.76-2.85
Zn  0.3620  0.3551  0.9209  3 Zn 2.78-2.85, 3 Ga 2.83-3.08
Zn  0.6380  0.0791  0.6449  3 Zn 2.78-2.85, 3 Ga 2.83-3.08
Zn  0.8375  0.5192  0.8058  1 Ga 2.68, 4 Zn 2.76-2.85
Zn  0.1625  0.4808  0.1942  1 Ga 2.68, 4 Zn 2.76-2.85

***

# 20
Density functional theory data (PBE-GGA) for PaIn2Pb2 after structural relaxation.

- magnetization (Bohr magnetons per cell) = 2.1
- E (eV per formula unit) = -21.231
- space group = No. 194

a b c (Å): 5.2529 5.2529 12.9215
angles (deg): 90.00 90.00 120.00
With the nearest neighbours (Å) after each atom.
Element x y z (fractional)
In  0.0000  0.0000  0.0000  2 Pa 3.23, 6 Pb 3.40
In  0.6667  0.3333  0.7500  3 Pa 3.03
In  0.3333  0.6667  0.2500  3 Pa 3.03
In  0.0000  0.0000  0.5000  2 Pa 3.23, 6 Pb 3.40
Pa  0.0000  0.0000  0.7500  5 In 3.03-3.23
Pa  0.0000  0.0000  0.2500  5 In 3.03-3.23
Pb  0.6667  0.3333  0.3818  6 In 3.40-3.48, 1 Pb 3.41, 3 Pa 3.48
Pb  0.6667  0.3333  0.1182  6 In 3.40-3.48, 1 Pb 3.41, 3 Pa 3.48
Pb  0.3333  0.6667  0.6182  6 In 3.40-3.48, 1 Pb 3.41, 3 Pa 3.48
Pb  0.3333  0.6667  0.8818  6 In 3.40-3.48, 1 Pb 3.41, 3 Pa 3.48